! NaNdMo2O8 | the Alexandria database | PBEsol | optimized geometry; values from VASP
! Calculated density (g/cm³): 5.1
! Volume (Å³/f.u.): 157.8
! DFT total energy (eV/atom): -8.4323
&SYSTEM
  ibrav = 0, nat = 12, ntyp = 4
/
ATOMIC_SPECIES
Na 22.99 Na.upf
Nd 144.24 Nd.upf
Mo 95.94 Mo.upf
O 16.00 O.upf
ATOMIC_POSITIONS crystal
Na 0.0000 0.0000 0.0000
Nd 0.2500 0.7500 0.5000
Mo 0.5000 0.5000 0.0000
Mo 0.7500 0.2500 0.5000
O 0.2686 0.6510 0.0948
O 0.3490 0.4438 0.6176
O 0.4263 0.0138 0.1051
O 0.5562 0.1738 0.9052
O 0.6788 0.5737 0.5875
O 0.8262 0.7314 0.3824
O 0.9087 0.3212 0.8949
O 0.9862 0.0913 0.4125
CELL_PARAMETERS angstrom
-2.6283 2.6283 5.7096
2.6283 -2.6283 5.7096
2.6283 2.6283 -5.7096

***

! NaNiMo3 | the Alexandria database | PBEsol | optimized geometry; values from VASP
! Calculated density (g/cm³): 7.3
! Volume (Å³/f.u.): 83.9
! DFT total energy (eV/atom): -5.6834
! Formation energy (meV per atom): 2888.8
&SYSTEM
  ibrav = 0, nat = 5, ntyp = 3
/
ATOMIC_SPECIES
Na 22.99 Na.upf
Ni 58.69 Ni.upf
Mo 95.94 Mo.upf
ATOMIC_POSITIONS crystal
Na 0.0000 0.0000 0.0000
Ni 0.5000 0.5000 0.5000
Mo 0.0000 0.0000 0.5000
Mo 0.0000 0.5000 0.0000
Mo 0.5000 0.0000 0.0000
CELL_PARAMETERS angstrom
4.3780 0.0000 0.0000
0.0000 4.3780 0.0000
0.0000 0.0000 4.3780

***

! Na2MoO4 | the Alexandria database | PBEsol | optimized geometry; values from VASP
! Calculated density (g/cm³): 3.3
! Polymorph energy (0 for the lowest one) (meV/atom): 26
! Volume (Å³/f.u.): 104.9
! DFT total energy (eV/atom): -7.1165
&SYSTEM
  ibrav = 0, nat = 14, ntyp = 3
/
ATOMIC_SPECIES
Na 22.99 Na.upf
Mo 95.94 Mo.upf
O 16.00 O.upf
ATOMIC_POSITIONS crystal
Na 0.0559 0.6941 0.0559
Na 0.3059 0.9441 0.3059
Na 0.6941 0.0559 0.6941
Na 0.9441 0.3059 0.9441
Mo 0.3750 0.3750 0.3750
Mo 0.6250 0.6250 0.6250
O 0.1915 0.7132 0.3513
O 0.2440 0.3513 0.7132
O 0.2868 0.8085 0.7560
O 0.3513 0.2440 0.1915
O 0.6487 0.7560 0.8085
O 0.7132 0.1915 0.2440
O 0.7560 0.6487 0.2868
O 0.8085 0.2868 0.6487
CELL_PARAMETERS angstrom
0.0000 5.1740 6.3387
3.1987 0.0000 6.3387
3.1987 5.1740 0.0000

***

! Na2MoO4 | the Alexandria database | PBEsol | optimized geometry; values from VASP
! Calculated density (g/cm³): 3.7
! Polymorph energy (0 for the lowest one) (meV/atom): 0
! Volume (Å³/f.u.): 93.4
! DFT total energy (eV/atom): -7.1428
&SYSTEM
  ibrav = 0, nat = 14, ntyp = 3
/
ATOMIC_SPECIES
Na 22.99 Na.upf
Mo 95.94 Mo.upf
O 16.00 O.upf
ATOMIC_POSITIONS crystal
Na 0.0000 0.0000 0.0000
Na 0.0000 0.0000 0.5000
Na 0.0000 0.5000 0.0000
Na 0.5000 0.0000 0.0000
Mo 0.3750 0.3750 0.3750
Mo 0.6250 0.6250 0.6250
O 0.2623 0.2623 0.2623
O 0.2623 0.2623 0.7131
O 0.2623 0.7131 0.2623
O 0.2869 0.7377 0.7377
O 0.7131 0.2623 0.2623
O 0.7377 0.2869 0.7377
O 0.7377 0.7377 0.2869
O 0.7377 0.7377 0.7377
CELL_PARAMETERS angstrom
0.0000 4.5371 4.5371
4.5371 0.0000 4.5371
4.5371 4.5371 0.0000

***

! Na2Mo2O7 | the Alexandria database | PBEsol | optimized geometry; values from VASP
! Calculated density (g/cm³): 3.7
! Volume (Å³/f.u.): 156.9
! DFT total energy (eV/atom): -7.7869
&SYSTEM
  ibrav = 0, nat = 44, ntyp = 3
/
ATOMIC_SPECIES
Na 22.99 Na.upf
Mo 95.94 Mo.upf
O 16.00 O.upf
ATOMIC_POSITIONS crystal
Na 0.1771 0.8229 0.8453
Na 0.2477 0.2477 0.0000
Na 0.2523 0.2523 0.5000
Na 0.3229 0.6771 0.3453
Na 0.6771 0.3229 0.6547
Na 0.7477 0.7477 0.5000
Na 0.7523 0.7523 0.0000
Na 0.8229 0.1771 0.1547
Mo 0.1653 0.3347 0.7500
Mo 0.2470 0.7530 0.0856
Mo 0.2530 0.7470 0.5856
Mo 0.3347 0.1653 0.2500
Mo 0.6653 0.8347 0.7500
Mo 0.7470 0.2530 0.4144
Mo 0.7530 0.2470 0.9144
Mo 0.8347 0.6653 0.2500
O 0.0313 0.5661 0.1559
O 0.0661 0.5313 0.6559
O 0.1231 0.8769 0.2819
O 0.1231 0.8769 0.5313
O 0.1401 0.8599 0.0028
O 0.1935 0.2054 0.1622
O 0.2054 0.1935 0.8378
O 0.2946 0.3065 0.3378
O 0.3065 0.2946 0.6622
O 0.3599 0.6401 0.5028
O 0.3769 0.6231 0.0313
O 0.3769 0.6231 0.7819
O 0.4339 0.9687 0.1559
O 0.4687 0.9339 0.6559
O 0.5313 0.0661 0.3441
O 0.5661 0.0313 0.8441
O 0.6231 0.3769 0.2181
O 0.6231 0.3769 0.9687
O 0.6401 0.3599 0.4972
O 0.6935 0.7054 0.3378
O 0.7054 0.6935 0.6622
O 0.7946 0.8065 0.1622
O 0.8065 0.7946 0.8378
O 0.8599 0.1401 0.9972
O 0.8769 0.1231 0.4687
O 0.8769 0.1231 0.7181
O 0.9339 0.4687 0.3441
O 0.9687 0.4339 0.8441
CELL_PARAMETERS angstrom
3.5897 -5.9209 0.0000
3.5897 5.9209 0.0000
0.0000 0.0000 14.7601

***

! Na3MoO4 | the Alexandria database | PBEsol | optimized geometry; values from VASP
! Calculated density (g/cm³): 3.0
! Volume (Å³/f.u.): 124.9
! DFT total energy (eV/atom): -6.4173
&SYSTEM
  ibrav = 0, nat = 16, ntyp = 3
/
ATOMIC_SPECIES
Na 22.99 Na.upf
Mo 95.94 Mo.upf
O 16.00 O.upf
ATOMIC_POSITIONS crystal
Na 0.0000 0.1445 0.0000
Na 0.2430 0.3359 0.4849
Na 0.2570 0.6641 0.9849
Na 0.5000 0.8555 0.5000
Na 0.7430 0.6641 0.9849
Na 0.7570 0.3359 0.4849
Mo 0.0000 0.8292 0.4780
Mo 0.5000 0.1708 0.9780
O 0.0000 0.1177 0.5904
O 0.0000 0.7709 0.1596
O 0.2153 0.7168 0.5743
O 0.2847 0.2832 0.0743
O 0.5000 0.2291 0.6596
O 0.5000 0.8823 0.0904
O 0.7153 0.2832 0.0743
O 0.7847 0.7168 0.5743
CELL_PARAMETERS angstrom
7.4990 0.0000 0.0000
0.0000 5.9362 0.0000
0.0000 0.0000 5.6098

***

! NaMo3P3O13 | the Alexandria database | PBEsol | optimized geometry; values from VASP
! Calculated density (g/cm³): 3.9
! Volume (Å³/f.u.): 259.2
! DFT total energy (eV/atom): -8.0260
&SYSTEM
  ibrav = 0, nat = 40, ntyp = 4
/
ATOMIC_SPECIES
Na 22.99 Na.upf
Mo 95.94 Mo.upf
P 30.97 P.upf
O 16.00 O.upf
ATOMIC_POSITIONS crystal
Na 0.1668 0.2500 0.1848
Na 0.8332 0.7500 0.8152
Mo 0.1270 0.2500 0.8012
Mo 0.2826 0.7500 0.4528
Mo 0.5000 0.0000 0.0000
Mo 0.5000 0.5000 0.0000
Mo 0.7174 0.2500 0.5472
Mo 0.8730 0.7500 0.1988
P 0.1977 0.7500 0.1186
P 0.2208 0.7500 0.7707
P 0.2989 0.2500 0.5290
P 0.7011 0.7500 0.4710
P 0.7792 0.2500 0.2293
P 0.8023 0.2500 0.8814
O 0.0019 0.7500 0.0417
O 0.1120 0.5633 0.7946
O 0.1120 0.9367 0.7946
O 0.1606 0.7500 0.2598
O 0.1715 0.2500 0.6233
O 0.2627 0.0619 0.4395
O 0.2627 0.4381 0.4395
O 0.2682 0.7500 0.6383
O 0.2996 0.5537 0.0991
O 0.2996 0.9463 0.0991
O 0.3659 0.2500 0.9126
O 0.4038 0.7500 0.8754
O 0.4926 0.2500 0.6121
O 0.5074 0.7500 0.3879
O 0.5962 0.2500 0.1246
O 0.6341 0.7500 0.0874
O 0.7004 0.0537 0.9009
O 0.7004 0.4463 0.9009
O 0.7318 0.2500 0.3617
O 0.7373 0.5619 0.5605
O 0.7373 0.9381 0.5605
O 0.8285 0.7500 0.3767
O 0.8394 0.2500 0.7402
O 0.8880 0.0633 0.2054
O 0.8880 0.4367 0.2054
O 0.9981 0.2500 0.9583
CELL_PARAMETERS angstrom
7.6703 0.0000 0.0000
0.0000 6.5234 0.0000
-2.2768 0.0000 10.3607

***

! NaMoP2O8 | the Alexandria database | PBEsol | optimized geometry; values from VASP
! Calculated density (g/cm³): 3.3
! Volume (Å³/f.u.): 156.9
! DFT total energy (eV/atom): -7.6911
&SYSTEM
  ibrav = 0, nat = 48, ntyp = 4
/
ATOMIC_SPECIES
Na 22.99 Na.upf
Mo 95.94 Mo.upf
P 30.97 P.upf
O 16.00 O.upf
ATOMIC_POSITIONS crystal
Na 0.2101 0.1882 0.3795
Na 0.2899 0.8118 0.8795
Na 0.7101 0.3118 0.6205
Na 0.7899 0.6882 0.1205
Mo 0.2295 0.5851 0.6404
Mo 0.2705 0.4149 0.1404
Mo 0.7295 0.9149 0.3596
Mo 0.7705 0.0851 0.8596
P 0.2064 0.9066 0.5425
P 0.2420 0.8677 0.1817
P 0.2580 0.1323 0.6817
P 0.2936 0.0934 0.0425
P 0.7064 0.5934 0.4575
P 0.7420 0.6323 0.8183
P 0.7580 0.3677 0.3183
P 0.7936 0.4066 0.9575
O 0.0179 0.6615 0.7735
O 0.0443 0.8447 0.2797
O 0.0613 0.4540 0.9957
O 0.0930 0.0506 0.9522
O 0.1773 0.8012 0.0705
O 0.2160 0.7689 0.5723
O 0.2351 0.0203 0.1634
O 0.2445 0.5586 0.1990
O 0.2555 0.4414 0.6990
O 0.2649 0.9797 0.6634
O 0.2840 0.2311 0.0723
O 0.3227 0.1988 0.5705
O 0.4070 0.9494 0.4522
O 0.4387 0.5460 0.4957
O 0.4557 0.1553 0.7797
O 0.4821 0.3385 0.2735
O 0.5179 0.8385 0.2265
O 0.5443 0.6553 0.7203
O 0.5613 0.0460 0.0043
O 0.5930 0.4494 0.0478
O 0.6773 0.6988 0.9295
O 0.7160 0.7311 0.4277
O 0.7351 0.4797 0.8366
O 0.7445 0.9414 0.8010
O 0.7555 0.0586 0.3010
O 0.7649 0.5203 0.3366
O 0.7840 0.2689 0.9277
O 0.8227 0.3012 0.4295
O 0.9070 0.5506 0.5478
O 0.9387 0.9540 0.5043
O 0.9557 0.3447 0.2203
O 0.9821 0.1615 0.7265
CELL_PARAMETERS angstrom
5.1791 0.0000 0.0000
0.0000 10.6171 0.0000
0.0000 0.0000 11.4131

***

! NaMo2P2O9 | the Alexandria database | PBEsol | optimized geometry; values from VASP
! Calculated density (g/cm³): 3.9
! Volume (Å³/f.u.): 180.4
! DFT total energy (eV/atom): -7.9700
&SYSTEM
  ibrav = 0, nat = 56, ntyp = 4
/
ATOMIC_SPECIES
Na 22.99 Na.upf
Mo 95.94 Mo.upf
P 30.97 P.upf
O 16.00 O.upf
ATOMIC_POSITIONS crystal
Na 0.2222 0.2500 0.1429
Na 0.2778 0.7500 0.6429
Na 0.7222 0.2500 0.3571
Na 0.7778 0.7500 0.8571
Mo 0.0000 0.0000 0.0000
Mo 0.0000 0.5000 0.0000
Mo 0.1209 0.2500 0.6500
Mo 0.3791 0.7500 0.1500
Mo 0.5000 0.0000 0.5000
Mo 0.5000 0.5000 0.5000
Mo 0.6209 0.2500 0.8500
Mo 0.8791 0.7500 0.3500
P 0.0641 0.7500 0.6449
P 0.1935 0.7500 0.0985
P 0.3065 0.2500 0.5985
P 0.4359 0.2500 0.1449
P 0.5641 0.7500 0.8551
P 0.6935 0.7500 0.4015
P 0.8065 0.2500 0.9015
P 0.9359 0.2500 0.3551
O 0.0086 0.2500 0.4980
O 0.0109 0.7500 0.8263
O 0.0468 0.2500 0.8659
O 0.1275 0.5625 0.6409
O 0.1275 0.9375 0.6409
O 0.1329 0.5552 0.0870
O 0.1329 0.9448 0.0870
O 0.2281 0.2500 0.4584
O 0.2489 0.2500 0.7712
O 0.2511 0.7500 0.2712
O 0.2719 0.7500 0.9584
O 0.3671 0.0552 0.5870
O 0.3671 0.4448 0.5870
O 0.3725 0.0625 0.1409
O 0.3725 0.4375 0.1409
O 0.4532 0.7500 0.3659
O 0.4891 0.2500 0.3263
O 0.4914 0.7500 0.9980
O 0.5086 0.2500 0.0020
O 0.5109 0.7500 0.6737
O 0.5468 0.2500 0.6341
O 0.6275 0.5625 0.8591
O 0.6275 0.9375 0.8591
O 0.6329 0.5552 0.4130
O 0.6329 0.9448 0.4130
O 0.7281 0.2500 0.0416
O 0.7489 0.2500 0.7288
O 0.7511 0.7500 0.2288
O 0.7719 0.7500 0.5416
O 0.8671 0.0552 0.9130
O 0.8671 0.4448 0.9130
O 0.8725 0.0625 0.3591
O 0.8725 0.4375 0.3591
O 0.9532 0.7500 0.1341
O 0.9891 0.2500 0.1737
O 0.9914 0.7500 0.5020
CELL_PARAMETERS angstrom
14.4326 0.0000 0.0000
0.0000 6.5325 0.0000
0.0000 0.0000 7.6533

***

! NaMoP2O7 | the Alexandria database | PBEsol | optimized geometry; values from VASP
! Calculated density (g/cm³): 3.6
! Volume (Å³/f.u.): 136.4
! DFT total energy (eV/atom): -7.6448
&SYSTEM
  ibrav = 0, nat = 44, ntyp = 4
/
ATOMIC_SPECIES
Na 22.99 Na.upf
Mo 95.94 Mo.upf
P 30.97 P.upf
O 16.00 O.upf
ATOMIC_POSITIONS crystal
Na 0.2126 0.0184 0.2112
Na 0.2126 0.4816 0.7112
Na 0.7874 0.5184 0.2888
Na 0.7874 0.9816 0.7888
Mo 0.2425 0.0050 0.7510
Mo 0.2425 0.4950 0.2510
Mo 0.7575 0.5050 0.7490
Mo 0.7575 0.9950 0.2490
P 0.1723 0.7164 0.9564
P 0.1723 0.7836 0.4564
P 0.4252 0.2468 0.0413
P 0.4252 0.2532 0.5413
P 0.5748 0.7468 0.4587
P 0.5748 0.7532 0.9587
P 0.8277 0.2164 0.5436
P 0.8277 0.2836 0.0436
O 0.0373 0.5894 0.8549
O 0.0373 0.9106 0.3549
O 0.1308 0.6046 0.4005
O 0.1308 0.8954 0.9005
O 0.1921 0.7098 0.1176
O 0.1921 0.7902 0.6176
O 0.3119 0.2200 0.8770
O 0.3119 0.2800 0.3770
O 0.3228 0.1287 0.6014
O 0.3228 0.3713 0.1014
O 0.3742 0.6615 0.9416
O 0.3742 0.8385 0.4416
O 0.4766 0.0866 0.1320
O 0.4766 0.4134 0.6320
O 0.5234 0.5866 0.3680
O 0.5234 0.9134 0.8680
O 0.6258 0.1615 0.5584
O 0.6258 0.3385 0.0584
O 0.6772 0.6287 0.8986
O 0.6772 0.8713 0.3986
O 0.6881 0.7200 0.6230
O 0.6881 0.7800 0.1230
O 0.8079 0.2098 0.3824
O 0.8079 0.2902 0.8824
O 0.8692 0.1046 0.0995
O 0.8692 0.3954 0.5995
O 0.9627 0.0894 0.6451
O 0.9627 0.4106 0.1451
CELL_PARAMETERS angstrom
7.4352 0.0000 0.0000
0.0000 8.0850 0.0000
-3.6200 0.0000 9.0768

***

! NaMo3P3O16 | the Alexandria database | PBEsol | optimized geometry; values from VASP
! Calculated density (g/cm³): 3.6
! Volume (Å³/f.u.): 302.2
! DFT total energy (eV/atom): -8.0825
&SYSTEM
  ibrav = 0, nat = 46, ntyp = 4
/
ATOMIC_SPECIES
Na 22.99 Na.upf
Mo 95.94 Mo.upf
P 30.97 P.upf
O 16.00 O.upf
ATOMIC_POSITIONS crystal
Na 0.0923 0.3267 0.3224
Na 0.9077 0.6733 0.6776
Mo 0.0946 0.2456 0.8374
Mo 0.2972 0.7871 0.4642
Mo 0.4377 0.7934 0.8544
Mo 0.5623 0.2066 0.1456
Mo 0.7028 0.2129 0.5358
Mo 0.9054 0.7544 0.1626
P 0.0768 0.1600 0.1028
P 0.1904 0.1484 0.5787
P 0.4420 0.5098 0.6841
P 0.5580 0.4902 0.3159
P 0.8096 0.8516 0.4213
P 0.9232 0.8400 0.8972
O 0.0187 0.2417 0.5107
O 0.0773 0.9588 0.1042
O 0.0977 0.5846 0.1761
O 0.1161 0.1790 0.6950
O 0.1278 0.2574 0.9873
O 0.1394 0.7596 0.8372
O 0.2232 0.9452 0.5809
O 0.2488 0.1917 0.1659
O 0.2798 0.5928 0.6106
O 0.2929 0.9649 0.3676
O 0.3422 0.3815 0.7817
O 0.3560 0.0198 0.8537
O 0.3557 0.5871 0.3774
O 0.3950 0.2352 0.5265
O 0.4116 0.6951 0.9821
O 0.4743 0.3429 0.2694
O 0.5257 0.6571 0.7306
O 0.5884 0.3049 0.0179
O 0.6050 0.7648 0.4735
O 0.6443 0.4129 0.6226
O 0.6440 0.9802 0.1463
O 0.6578 0.6185 0.2183
O 0.7071 0.0351 0.6324
O 0.7202 0.4072 0.3894
O 0.7512 0.8083 0.8341
O 0.7768 0.0548 0.4191
O 0.8606 0.2404 0.1628
O 0.8722 0.7426 0.0127
O 0.8839 0.8210 0.3050
O 0.9023 0.4154 0.8239
O 0.9227 0.0412 0.8958
O 0.9813 0.7583 0.4893
CELL_PARAMETERS angstrom
6.4130 0.0000 0.0000
1.0834 7.5751 0.0000
2.4390 1.9718 12.4410

***

What is the volume in the tenth record?
136.4 Å³/f.u.